Rb8HBr3Cl4 | PBE | relaxed

Geometry as CIF:
```
data_Rb8HBr3Cl4
_symmetry_space_group_name_H-M 'C 1 2/m 1'
_symmetry_Int_Tables_number 12
_symmetry_space_group_name_Hall '-C 2y'
_cell_length_a 16.606
_cell_length_b 9.588
_cell_length_c 9.587
_cell_angle_alpha 90.00
_cell_angle_beta 125.25
_cell_angle_gamma 90.00
loop_
_atom_site_label
_atom_site_type_symbol
_atom_site_fract_x
_atom_site_fract_y
_atom_site_fract_z
_atom_site_occupancy
Rb1 Rb 0.004 0.241 0.253 1
Rb2 Rb 0.246 0.000 0.254 1
Rb3 Rb 0.246 0.000 0.738 1
H1 H 0.000 0.000 0.000 1
Br1 Br 0.000 0.500 0.000 1
Br2 Br 0.250 0.250 0.000 1
Cl1 Cl 0.000 0.000 0.500 1
Cl2 Cl 0.000 0.500 0.500 1
Cl3 Cl 0.250 0.250 0.500 1
```

Output
crystal system	monoclinic
DOS at the Fermi energy	0.000	states/eV per atom
size of the total moment	0.07	μB/f.u.
DFT total energy	-99.4	eV for the cell shown